Entry 1:
The following is a PBE calculation of Cs2Rb2RhO4 after structural relaxation, from Alexandria via LeMat-Bulk.

Computed properties:
As for the uncorrected formation energy: -0.818 eV per atom.

Unit cell a=6.641 b=6.641 c=6.641 alpha=91.55 beta=119.11 gamma=119.11
Site moments in Bohr magnetons follow the coordinates.
Positions (direct):
Cs (0.000, 0.670, 0.670)  0.00
Cs (0.000, 0.330, 0.330)  0.00
Rb (0.500, 0.750, 0.250)  0.00
Rb (0.500, 0.250, 0.750)  0.00
Rh (0.000, 0.000, 0.000)  1.50
O (0.000, 0.793, 0.207)  0.28
O (0.587, 0.793, 0.793)  0.28
O (0.000, 0.207, 0.793)  0.28
O (0.413, 0.207, 0.207)  0.28

Entry 2:
The following is a PBE calculation of LaAgIr2 after structural relaxation, from Alexandria via LeMat-Bulk.

Computed properties:
The calculation puts the density of states at the Fermi level at 2.286 states/eV/cell. The value obtained for the excess energy over the best structure of this formula in the dataset is 179 meV per atom.

Unit cell a=4.723 b=2.949 c=5.588 alpha=80.22 beta=90.00 gamma=90.00
Positions (direct):
Ir (0.000, 0.940, 0.959)
Ir (0.000, 0.560, 0.541)
Ag (0.500, 0.750, 0.750)
La (0.500, 0.250, 0.250)

Entry 3:
The following is a PBE calculation of FeB3H after structural relaxation, from Alexandria via LeMat-Bulk.

Computed properties:
The calculation puts the density of states at the Fermi level at 0.857 states/eV/cell. The value obtained for the excess energy over the best structure of this formula in the dataset is 0 meV per atom.

Unit cell a=3.096 b=3.096 c=3.096 alpha=90.00 beta=90.00 gamma=90.00
Positions (direct):
H (0.000, 0.000, 0.000)
B (0.000, 0.500, 0.000)
B (0.000, 0.000, 0.500)
B (0.500, 0.000, 0.000)
Fe (0.500, 0.500, 0.500)

Entry 4:
The following is a PBE calculation of FeRe2Ag after structural relaxation, from Alexandria via LeMat-Bulk.

Computed properties:
The calculation puts the density of states at the Fermi level at 3.039 states/eV/cell. The value obtained for the excess energy over the best structure of this formula in the dataset is 0 meV per atom.

Unit cell a=9.281 b=9.281 c=9.281 alpha=17.14 beta=17.14 gamma=17.14
Site moments in Bohr magnetons follow the coordinates.
Positions (direct):
Ag (0.497, 0.497, 0.497)  -0.01
Fe (0.746, 0.746, 0.746)  2.66
Re (0.000, 0.000, 0.000)  0.02
Re (0.256, 0.256, 0.256)  0.10

Entry 5:
The following is a PBE calculation of CoAuSe2 after structural relaxation, from Alexandria via LeMat-Bulk.

Computed properties:
The calculation puts the density of states at the Fermi level at 1.764 states/eV/cell. As for the uncorrected formation energy: 0.024 eV per atom.

Unit cell a=5.211 b=5.211 c=6.015 alpha=80.84 beta=80.84 gamma=35.81
Site moments in Bohr magnetons follow the coordinates.
Positions (direct):
Au (0.568, 0.568, 0.352)  0.06
Co (0.288, 0.288, 0.371)  1.12
Se (0.915, 0.915, 0.129)  0.04
Se (0.730, 0.730, 0.648)  0.11

Entry 6:
The following is a PBE calculation of IrRhCl after structural relaxation, from Alexandria via LeMat-Bulk.

Computed properties:
The calculation puts the density of states at the Fermi level at 5.489 states/eV/cell. The value obtained for the excess energy over the best structure of this formula in the dataset is 451 meV per atom. As for the uncorrected formation energy: 0.939 eV per atom.

Unit cell a=4.262 b=4.262 c=4.262 alpha=60.00 beta=60.00 gamma=60.00
Site moments in Bohr magnetons follow the coordinates.
Positions (direct):
Cl (0.500, 0.500, 0.500)  0.03
Ir (0.750, 0.750, 0.750)  0.37
Rh (0.000, 0.000, 0.000)  0.38

Entry 7:
The following is a PBE calculation of MgBeRe3 after structural relaxation, from Alexandria via LeMat-Bulk.

Computed properties:
The calculation puts the density of states at the Fermi level at 7.450 states/eV/cell. The value obtained for the excess energy over the best structure of this formula in the dataset is 1990 meV per atom.

Unit cell a=4.464 b=4.464 c=4.464 alpha=90.00 beta=90.00 gamma=90.00
Site moments in Bohr magnetons follow the coordinates.
Positions (direct):
Re (0.000, 0.500, 0.000)  0.29
Re (0.000, 0.000, 0.500)  0.45
Re (0.500, 0.000, 0.000)  0.20
Mg (0.000, 0.000, 0.000)  0.01
Be (0.500, 0.500, 0.500)  -0.01

Entry 8:
The following is a PBE calculation of Ba2Cd3Sn after structural relaxation, from Alexandria via LeMat-Bulk.

Computed properties:
The final energy is -2.196 eV per atom. The calculation puts the density of states at the Fermi level at 8.734 states/eV/cell.

Unit cell a=6.782 b=6.782 c=10.355 alpha=112.63 beta=112.63 gamma=79.94
Positions (direct):
Ba (0.750, 0.250, 0.500)
Ba (0.758, 0.242, 0.000)
Ba (0.250, 0.750, 0.500)
Ba (0.242, 0.758, 0.000)
Cd (0.831, 0.831, 0.166)
Cd (0.665, 0.665, 0.834)
Cd (0.169, 0.169, 0.834)
Cd (0.335, 0.335, 0.166)
Cd (0.167, 0.167, 0.334)
Cd (0.833, 0.833, 0.666)
Sn (0.665, 0.665, 0.329)
Sn (0.335, 0.335, 0.671)